A.
Below is a relaxed NdHoGeRh crystal, with properties calculated at the PBE-GGA level.

Geometry as CIF:
```
data_NdHoGeRh
_cell_length_a 4.191
_cell_length_b 4.167
_cell_length_c 10.640
_cell_angle_alpha 90.00
_cell_angle_beta 90.00
_cell_angle_gamma 90.00
_symmetry_space_group_name_H-M 'A m m 2'
_symmetry_Int_Tables_number 38
loop_
_symmetry_equiv_pos_as_xyz
'x,y,z'
'-x,-y,z'
'-x,y,z'
'x,-y,z'
'x,y+1/2,z+1/2'
'-x,-y+1/2,z+1/2'
'-x,y+1/2,z+1/2'
'x,-y+1/2,z+1/2'
loop_
_atom_site_label
_atom_site_type_symbol
_atom_site_fract_x
_atom_site_fract_y
_atom_site_fract_z
_atom_site_occupancy
Nd1 Nd 0.000 0.000 0.000 1
Ho1 Ho 0.500 0.000 0.719 1
Ge1 Ge 0.500 0.000 0.425 1
Rh1 Rh 0.000 0.000 0.274 1
```

DOS(E_F)	0.89	states/eV per atom

***

B.
Below is a relaxed NdHoGeRh crystal, with properties calculated at the PBE-GGA level.

Geometry as CIF:
```
data_NdHoGeRh
_cell_length_a 7.113
_cell_length_b 7.113
_cell_length_c 7.113
_cell_angle_alpha 90.00
_cell_angle_beta 90.00
_cell_angle_gamma 90.00
_symmetry_space_group_name_H-M 'F -4 3 m'
_symmetry_Int_Tables_number 216
_symmetry_space_group_name_Hall 'F -4 2 3'
loop_
_atom_site_label
_atom_site_type_symbol
_atom_site_fract_x
_atom_site_fract_y
_atom_site_fract_z
_atom_site_occupancy
Nd1 Nd 0.000 0.000 0.000 1
Ho1 Ho 0.000 0.000 0.500 1
Ge1 Ge 0.250 0.250 0.250 1
Rh1 Rh 0.250 0.250 0.750 1
```

DOS(E_F)	0.62	states/eV per atom

***

Stability, descending: A, B